The following is a DFT calculation (PBE) of Tb3Dy2Co2 after structural relaxation.

## Properties
The formation energy comes out at -154 meV/atom. The total magnetization comes out at 0.0000 μB per atom. For the total energy, the calculation gives -0.2015 hartree per atom. Its crystal system is monoclinic.

a = 3.6784 Å, b = 6.2579 Å, c = 8.8481 Å
α = 114.87°, β = 90.00°, γ = 107.09°
Fractional coordinates of all 7 atoms:
1 Tb 0.3827 0.7654 0.5738
2 Tb 0.6173 0.2346 0.4262
3 Tb 0.5000 0.0000 0.0000
4 Co 0.1797 0.3595 0.2421
5 Co 0.8203 0.6405 0.7579
6 Dy 0.1725 0.3449 0.8049
7 Dy 0.8275 0.6551 0.1951

***

The following is a DFT calculation (PBE) of Tb3Dy5Co2 after structural relaxation.

## Properties
The formation energy comes out at -27 meV/atom. The total magnetization comes out at 0.0000 μB per atom. For the total energy, the calculation gives -0.1888 hartree per atom. Its crystal system is orthorhombic.

a = 7.6752 Å, b = 9.7279 Å, c = 9.7280 Å
α = 62.82°, β = 66.77°, γ = 66.77°
Fractional coordinates of all 20 atoms:
1 Tb 0.7500 0.0000 0.0000
2 Tb 0.3762 0.3816 0.8659
3 Tb 0.8762 0.8659 0.3816
4 Tb 0.1238 0.1341 0.6184
5 Tb 0.2500 0.0000 0.0000
6 Tb 0.6238 0.6184 0.1341
7 Dy 0.0030 0.7470 0.7470
8 Dy 0.6241 0.1333 0.6185
9 Dy 0.3759 0.8667 0.3815
10 Dy 0.4970 0.2530 0.2530
11 Dy 0.7500 0.5000 0.5000
12 Dy 0.1241 0.6185 0.1333
13 Dy 0.2500 0.5000 0.5000
14 Dy 0.5030 0.7470 0.7470
15 Dy 0.8759 0.3815 0.8667
16 Dy 0.9970 0.2530 0.2530
17 Co 0.3693 0.1307 0.1307
18 Co 0.8693 0.1307 0.1307
19 Co 0.1307 0.8693 0.8693
20 Co 0.6307 0.8693 0.8693

***

The following is a DFT calculation (PBE) of TbDy2Co2 after structural relaxation.

## Properties
The formation energy comes out at -142 meV/atom. The total magnetization comes out at 0.0750 μB per atom. For the total energy, the calculation gives -0.2113 hartree per atom. For the relative energy among the computed polymorphs, the calculation gives 0.0 meV per atom. Its crystal system is orthorhombic.

a = 3.9097 Å, b = 3.9075 Å, c = 7.5579 Å
α = 104.98°, β = 90.00°, γ = 90.00°
Last column: magnetic moment on the atom in μB.
Fractional coordinates of all 5 atoms:
1 Co 0.0000 0.7974 0.5948  0.08
2 Co 0.0000 0.2026 0.4052  0.08
3 Tb 0.0000 0.0000 0.0000  0.12
4 Dy 0.5000 0.6512 0.3023  0.01
5 Dy 0.5000 0.3488 0.6977  0.01

***

The following is a DFT calculation (PBE) of TbDy3Co after structural relaxation.

## Properties
The formation energy comes out at -19 meV/atom. The total magnetization comes out at 0.0000 μB per atom. For the total energy, the calculation gives -0.1884 hartree per atom. For the relative energy among the computed polymorphs, the calculation gives 87.9 meV per atom. Its crystal system is monoclinic.

a = 7.2918 Å, b = 7.7675 Å, c = 9.9568 Å
α = 107.31°, β = 90.00°, γ = 90.00°
Fractional coordinates of all 20 atoms:
1 Dy 0.2975 0.5848 0.0320
2 Dy 0.7025 0.4152 0.9680
3 Dy 0.0064 0.7896 0.8834
4 Dy 0.2025 0.5848 0.5320
5 Dy 0.9936 0.2104 0.1166
6 Dy 0.5064 0.2104 0.6166
7 Dy 0.7975 0.4152 0.4680
8 Dy 0.4936 0.7896 0.3834
9 Dy 0.8723 0.9185 0.6089
10 Dy 0.6277 0.9185 0.1089
11 Dy 0.3723 0.0815 0.8911
12 Dy 0.1277 0.0815 0.3911
13 Tb 0.5552 0.6861 0.7551
14 Tb 0.9448 0.6861 0.2551
15 Tb 0.0552 0.3139 0.7449
16 Tb 0.4448 0.3139 0.2449
17 Co 0.7543 0.0468 0.8931
18 Co 0.7457 0.0468 0.3931
19 Co 0.2457 0.9532 0.1069
20 Co 0.2543 0.9532 0.6069

***

The following is a DFT calculation (PBE) of Tb2DyCo after structural relaxation.

## Properties
The formation energy comes out at 10 meV/atom. The total magnetization comes out at 0.0152 μB per atom. For the total energy, the calculation gives -0.1923 hartree per atom. For the relative energy among the computed polymorphs, the calculation gives 163.2 meV per atom. Its crystal system is trigonal.

a = 3.7596 Å, b = 3.7596 Å, c = 9.2377 Å
α = 78.26°, β = 78.26°, γ = 60.00°
Fractional coordinates of all 4 atoms:
1 Co 0.6662 0.6662 0.0015
2 Dy 0.5012 0.5012 0.4964
3 Tb 0.0570 0.0570 0.8289
4 Tb 0.2756 0.2756 0.1732

***

The following is a DFT calculation (PBE) of TbDy6Co2 after structural relaxation.

## Properties
The formation energy comes out at -63 meV/atom. The total magnetization comes out at 0.0000 μB per atom. For the total energy, the calculation gives -0.1920 hartree per atom. Its crystal system is orthorhombic.

a = 8.5092 Å, b = 8.5092 Å, c = 8.5092 Å
α = 107.55°, β = 108.58°, γ = 112.32°
Fractional coordinates of all 18 atoms:
1 Co 0.3004 0.0000 0.3004
2 Co 0.5000 0.6137 0.1137
3 Co 0.6996 0.0000 0.6996
4 Co 0.5000 0.3863 0.8863
5 Dy 0.1031 0.2884 0.8147
6 Dy 0.6832 0.0020 0.3188
7 Dy 0.8969 0.7116 0.1853
8 Dy 0.2140 0.7585 0.9725
9 Dy 0.4737 0.2884 0.1853
10 Dy 0.3168 0.6356 0.3188
11 Dy 0.3168 0.9980 0.6812
12 Dy 0.7860 0.7585 0.5444
13 Dy 0.5263 0.7116 0.8147
14 Dy 0.2140 0.2415 0.4556
15 Dy 0.7860 0.2415 0.0275
16 Dy 0.6832 0.3644 0.6812
17 Tb 0.0000 0.0000 0.0000
18 Tb 0.0000 0.5000 0.5000

***

The following is a DFT calculation (PBE) of TbDy2Co after structural relaxation.

## Properties
The formation energy comes out at -133 meV/atom. The total magnetization comes out at 0.0000 μB per atom. For the total energy, the calculation gives -0.1973 hartree per atom. For the relative energy among the computed polymorphs, the calculation gives 25.9 meV per atom. Its crystal system is orthorhombic.

a = 3.6652 Å, b = 6.2453 Å, c = 9.4007 Å
α = 90.00°, β = 90.00°, γ = 107.09°
Fractional coordinates of all 8 atoms:
1 Dy 0.1404 0.2806 0.4278
2 Dy 0.8596 0.7194 0.9278
3 Dy 0.8596 0.7194 0.5722
4 Dy 0.1404 0.2806 0.0722
5 Co 0.2551 0.5097 0.7500
6 Co 0.7449 0.4903 0.2500
7 Tb 0.5854 0.1701 0.7500
8 Tb 0.4146 0.8299 0.2500

***

The following is a DFT calculation (PBE) of Tb3Dy3Co4 after structural relaxation.

## Properties
The formation energy comes out at -139 meV/atom. The total magnetization comes out at 0.0000 μB per atom. For the total energy, the calculation gives -0.2114 hartree per atom. Its crystal system is orthorhombic.

a = 4.1849 Å, b = 7.1973 Å, c = 7.1973 Å
α = 89.94°, β = 90.00°, γ = 90.00°
Fractional coordinates of all 10 atoms:
1 Co 0.0000 0.1120 0.1098
2 Co 0.0000 0.6099 0.3901
3 Co 0.0000 0.3878 0.6122
4 Co 0.0000 0.8902 0.8880
5 Dy 0.0000 0.4997 0.0001
6 Dy 0.0000 0.9999 0.5003
7 Dy 0.5000 0.1735 0.8265
8 Tb 0.5000 0.8273 0.1727
9 Tb 0.5000 0.6731 0.6734
10 Tb 0.5000 0.3266 0.3269